(1)
The following is a GGA-PBE calculation of Cr2HgP after structural relaxation, from Alexandria via LeMat-Bulk.

```
data_Cr2HgP
_chemical_formula_sum 'Cr2 Hg1 P1'
_cell_length_a 4.553
_cell_length_b 4.553
_cell_length_c 4.553
_cell_angle_alpha 60.00
_cell_angle_beta 60.00
_cell_angle_gamma 60.00
_symmetry_space_group_name_H-M 'P 1'
_symmetry_Int_Tables_number 1
loop_
_symmetry_equiv_pos_as_xyz
'x,y,z'
loop_
_atom_site_label
_atom_site_fract_x
_atom_site_fract_y
_atom_site_fract_z
Cr1 0.000 0.000 0.000
Cr2 0.250 0.250 0.250
Hg1 0.750 0.750 0.750
P1 0.500 0.500 0.500
```

Calculated values
- E_form (eV/atom) = 0.598
- total moment (μB/cell) = 0.19
- E above lowest polymorph (eV per formula unit) = 1.99
- crystal system = cubic

=====

(2)
The following is a GGA-PBE calculation of Cr2HgP after structural relaxation, from Alexandria via LeMat-Bulk.

```
data_Cr2HgP
_chemical_formula_sum 'Cr2 Hg1 P1'
_cell_length_a 2.959
_cell_length_b 2.959
_cell_length_c 7.059
_cell_angle_alpha 90.00
_cell_angle_beta 90.00
_cell_angle_gamma 90.00
_symmetry_space_group_name_H-M 'P 1'
_symmetry_Int_Tables_number 1
loop_
_symmetry_equiv_pos_as_xyz
'x,y,z'
loop_
_atom_site_label
_atom_site_fract_x
_atom_site_fract_y
_atom_site_fract_z
Cr1 0.000 0.000 0.000
Cr2 0.500 0.500 0.187
Hg1 0.000 0.000 0.466
P1 0.500 0.500 0.840
```

Calculated values
- E_form (eV/atom) = 0.218
- total moment (μB/cell) = 0.00
- E above lowest polymorph (eV per formula unit) = 0.47
- crystal system = tetragonal

=====

(3)
The following is a GGA-PBE calculation of CrHgP2 after structural relaxation, from Alexandria via LeMat-Bulk.

```
data_CrHgP2
_chemical_formula_sum 'Cr2 Hg2 P4'
_cell_length_a 6.870
_cell_length_b 6.870
_cell_length_c 6.870
_cell_angle_alpha 131.84
_cell_angle_beta 131.84
_cell_angle_gamma 70.47
_symmetry_space_group_name_H-M 'P 1'
_symmetry_Int_Tables_number 1
loop_
_symmetry_equiv_pos_as_xyz
'x,y,z'
loop_
_atom_site_label
_atom_site_fract_x
_atom_site_fract_y
_atom_site_fract_z
Cr1 0.000 0.000 0.000
Cr2 0.750 0.250 0.500
Hg1 0.250 0.750 0.500
Hg2 0.500 0.500 0.000
P1 0.071 0.625 0.946
P2 0.375 0.321 0.446
P3 0.679 0.125 0.054
P4 0.875 0.929 0.554
```

Calculated values
- E_form (eV/atom) = 0.176
- total moment (μB/cell) = 4.00
- crystal system = tetragonal

=====

(4)
The following is a GGA-PBE calculation of CrHgP2 after structural relaxation, from Alexandria via LeMat-Bulk.

```
data_CrHgP2
_chemical_formula_sum 'Cr1 Hg1 P2'
_cell_length_a 7.123
_cell_length_b 7.123
_cell_length_c 3.878
_cell_angle_alpha 101.17
_cell_angle_beta 101.17
_cell_angle_gamma 23.21
_symmetry_space_group_name_H-M 'P 1'
_symmetry_Int_Tables_number 1
loop_
_symmetry_equiv_pos_as_xyz
'x,y,z'
loop_
_atom_site_label
_atom_site_fract_x
_atom_site_fract_y
_atom_site_fract_z
Cr1 0.000 0.000 0.000
Hg1 0.692 0.692 0.158
P1 0.364 0.364 0.741
P2 0.489 0.489 0.495
```

Calculated values
- E_form (eV/atom) = 0.125
- total moment (μB/cell) = 1.78
- crystal system = monoclinic